## Re2AgSe (PBEsol)

Data for a geometry-optimized Re2AgSe structure.

calculated total energy = -7.39 eV per atom
V = 63.67 Å³ per cell

Cell lengths 3.7878, 3.7878, 5.1831 Å; angles 111.43, 111.43, 90.00 degrees
Fractional coordinates of all 4 atoms:
Ag: 0.0000 0.0000 0.0000
Re: 0.7500 0.2500 0.5000
Re: 0.2500 0.7500 0.5000
Se: 0.5000 0.5000 0.0000